A geometry-optimized KAg2F6 structure, computed with PBE.

Properties
* D(E_F): 3.07 states/eV/cell
* E: -3.536 eV per atom
* SG: P4/mmm, No. 123
* E above lowest polymorph: 0.0 meV/atom
* formation energy without anion corrections: -13.8 eV per formula unit

Cell: 4.2777 4.2777 8.4982 Å, 90.00 90.00 90.00°
Sites, in units of the cell vectors:
K 0.0000 0.0000 0.0000
Ag 0.5000 0.5000 0.2550
Ag 0.5000 0.5000 0.7450
F 0.0000 0.5000 0.2315
F 0.0000 0.5000 0.7685
F 0.5000 0.0000 0.2315
F 0.5000 0.0000 0.7685
F 0.5000 0.5000 0.0000
F 0.5000 0.5000 0.5000

A geometry-optimized PmSm2ErTm5 structure, computed with PBE.

Properties
* D(E_F): 20.37 states/eV/cell
* E: -4.293 eV per atom
* ΔH_f (0 K): 275 meV per atom
* SG: I4/mcm, No. 140

Cell: 9.7451 9.7451 9.7451 Å, 127.00 127.00 78.25°
Sites, in units of the cell vectors:
Pm 0.2500 0.2500 0.0000
Pm 0.7500 0.7500 0.0000
Sm 0.1156 0.6156 0.7312
Sm 0.3844 0.1156 0.5000
Sm 0.6156 0.8844 0.5000
Sm 0.8844 0.3844 0.2688
Er 0.2500 0.7500 0.5000
Er 0.7500 0.2500 0.5000
Tm 0.0000 0.0000 0.0000
Tm 0.0726 0.1541 0.5000
Tm 0.1541 0.6541 0.0815
Tm 0.3459 0.4274 0.5000
Tm 0.4274 0.9274 0.0815
Tm 0.5000 0.5000 0.0000
Tm 0.5726 0.0726 0.9185
Tm 0.6541 0.5726 0.5000
Tm 0.8459 0.3459 0.9185
Tm 0.9274 0.8459 0.5000

A geometry-optimized AsRu2Au structure, computed with PBE.

Properties
* D(E_F): 3.80 states/eV/cell
* E: -6.430 eV per atom
* ΔH_f (0 K): 189 meV per atom
* SG: P4mm, No. 99

Cell: 2.8431 2.8431 8.1094 Å, 90.00 90.00 90.00°
Sites, in units of the cell vectors:
As 0.0000 0.0000 0.0000
Ru 0.0000 0.0000 0.5751
Ru 0.5000 0.5000 0.7830
Au 0.5000 0.5000 0.3206

A geometry-optimized Ac5AgPt2 structure, computed with PBE.

Properties
* D(E_F): 17.43 states/eV/cell
* E: -5.076 eV per atom
* ΔH_f (0 K): -642 meV per atom
* SG: Ibam, No. 72

Cell: 9.5122 9.5122 9.5122 Å, 127.35 127.12 77.87°
Sites, in units of the cell vectors:
Ac 0.0000 0.0000 0.0000
Ac 0.0247 0.5236 0.8214
Ac 0.2022 0.0236 0.4989
Ac 0.2978 0.7967 0.8214
Ac 0.4753 0.2967 0.4989
Ac 0.5000 0.5000 0.0000
Ac 0.5247 0.7033 0.5011
Ac 0.7022 0.2033 0.1786
Ac 0.7978 0.9764 0.5011
Ac 0.9753 0.4764 0.1786
Ag 0.2500 0.2500 0.0000
Ag 0.7500 0.7500 0.0000
Pt 0.1365 0.3626 0.4991
Pt 0.3635 0.8626 0.2261
Pt 0.6365 0.1374 0.7739
Pt 0.8635 0.6374 0.5009

A geometry-optimized TcAgRu2 structure, computed with PBE.

Properties
* D(E_F): 6.29 states/eV/cell
* E: -7.375 eV per atom
* ΔH_f (0 K): 567 meV per atom
* SG: P4/mmm, No. 123
* E above lowest polymorph: 371.3 meV/atom

Cell: 3.9405 3.9405 3.8298 Å, 90.00 90.00 90.00°
Sites, in units of the cell vectors:
Tc 0.0000 0.0000 0.0000
Ag 0.5000 0.5000 0.0000
Ru 0.0000 0.5000 0.5000
Ru 0.5000 0.0000 0.5000

A geometry-optimized PuAlAu6 structure, computed with PBE.

Properties
* D(E_F): 34.22 states/eV/cell
* E: -4.979 eV per atom
* ΔH_f (0 K): -262 meV per atom
* SG: C2/m, No. 12

Cell: 9.4073 4.4368 8.0720 Å, 90.00 113.36 90.00°
Sites, in units of the cell vectors:
Pu 0.0000 0.0000 0.0000
Pu 0.5000 0.5000 0.0000
Al 0.0000 0.0000 0.5000
Al 0.5000 0.5000 0.5000
Au 0.0198 0.5000 0.7251
Au 0.2202 0.0000 0.3838
Au 0.2482 0.0000 0.8429
Au 0.2518 0.5000 0.1571
Au 0.2798 0.5000 0.6162
Au 0.4802 0.0000 0.2749
Au 0.5198 0.0000 0.7251
Au 0.7202 0.5000 0.3838
Au 0.7482 0.5000 0.8429
Au 0.7518 0.0000 0.1571
Au 0.7798 0.0000 0.6162
Au 0.9802 0.5000 0.2749

A geometry-optimized Rb2NaSbSe4 structure, computed with PBE.

Properties
* E: -3.418 eV per atom
* SG: Fddd, No. 70
* formation energy without anion corrections: -6.0 eV per formula unit

Cell: 14.9491 13.5264 7.9445 Å, 83.96 64.13 31.90°
Sites, in units of the cell vectors:
Rb 0.0622 0.0622 0.6878
Rb 0.3122 0.3122 0.9378
Rb 0.6878 0.6878 0.0622
Rb 0.9378 0.9378 0.3122
Na 0.1250 0.1250 0.1250
Na 0.8750 0.8750 0.8750
Sb 0.3750 0.3750 0.3750
Sb 0.6250 0.6250 0.6250
Se 0.0053 0.6370 0.5307
Se 0.3270 0.5307 0.6370
Se 0.3630 0.9947 0.6730
Se 0.4693 0.6730 0.9947
Se 0.5307 0.3270 0.0053
Se 0.6370 0.0053 0.3270
Se 0.6730 0.4693 0.3630
Se 0.9947 0.3630 0.4693

A geometry-optimized KHoPu2O8 structure, computed with PBE.

Properties
* D(E_F): 9.46 states/eV/cell
* E: -8.653 eV per atom
* SG: I-4m2, No. 119
* formation energy without anion corrections: -29.8 eV per formula unit

Cell: 6.4862 6.4862 6.4862 Å, 130.33 130.33 72.88°
Sites, in units of the cell vectors:
K 0.0000 0.0000 0.0000
Ho 0.2500 0.7500 0.5000
Pu 0.5000 0.5000 0.0000
Pu 0.7500 0.2500 0.5000
O 0.1342 0.1514 0.5448
O 0.1342 0.5893 0.9827
O 0.4107 0.3934 0.5448
O 0.4107 0.8658 0.0173
O 0.6066 0.1514 0.0173
O 0.6066 0.5893 0.4552
O 0.8486 0.3934 0.9827
O 0.8486 0.8658 0.4552

A geometry-optimized SrNbAu structure, computed with PBE.

Properties
* D(E_F): 0.92 states/eV/cell
* E: -4.169 eV per atom
* ΔH_f (0 K): 841 meV per atom
* SG: F-43m, No. 216
* E above lowest polymorph: 975.7 meV/atom

Cell: 6.7451 6.7451 6.7451 Å, 90.00 90.00 90.00°
Sites, in units of the cell vectors:
Sr 0.0000 0.0000 0.0000
Sr 0.0000 0.5000 0.5000
Sr 0.5000 0.0000 0.5000
Sr 0.5000 0.5000 0.0000
Nb 0.2500 0.2500 0.7500
Nb 0.2500 0.7500 0.2500
Nb 0.7500 0.2500 0.2500
Nb 0.7500 0.7500 0.7500
Au 0.0000 0.0000 0.5000
Au 0.0000 0.5000 0.0000
Au 0.5000 0.0000 0.0000
Au 0.5000 0.5000 0.5000

A geometry-optimized KYPS2 structure, computed with PBE.

Properties
* D(E_F): 4.36 states/eV/cell
* E: -3.683 eV per atom
* SG: P4/mmm, No. 123
* E above lowest polymorph: 1194.6 meV/atom
* formation energy without anion corrections: 2.8 eV per formula unit

Cell: 5.1794 5.1794 4.9274 Å, 90.00 90.00 90.00°
Sites, in units of the cell vectors:
K 0.0000 0.0000 0.0000
Y 0.5000 0.5000 0.5000
P 0.0000 0.0000 0.5000
S 0.0000 0.5000 0.0000
S 0.5000 0.0000 0.0000

A geometry-optimized Li3Mg6Ni structure, computed with PBE.

Properties
* D(E_F): 8.42 states/eV/cell
* E: -2.137 eV per atom
* ΔH_f (0 K): -28 meV per atom
* SG: P2_1/m, No. 11

Cell: 10.3925 3.0777 12.5319 Å, 90.00 95.20 90.00°
Sites, in units of the cell vectors:
Li 0.0430 0.2500 0.2696
Li 0.1046 0.2500 0.0672
Li 0.4235 0.2500 0.8103
Li 0.5765 0.7500 0.1897
Li 0.8954 0.7500 0.9328
Li 0.9570 0.7500 0.7304
Mg 0.1113 0.7500 0.4562
Mg 0.1895 0.7500 0.8785
Mg 0.1965 0.2500 0.6568
Mg 0.3084 0.7500 0.2728
Mg 0.3810 0.2500 0.0487
Mg 0.4438 0.7500 0.5920
Mg 0.5562 0.2500 0.4080
Mg 0.6190 0.7500 0.9513
Mg 0.6916 0.2500 0.7272
Mg 0.8035 0.7500 0.3432
Mg 0.8105 0.2500 0.1215
Mg 0.8887 0.2500 0.5438
Ni 0.3077 0.2500 0.4483
Ni 0.6923 0.7500 0.5517

A geometry-optimized KRuRh structure, computed with PBE.

Properties
* D(E_F): 6.56 states/eV/cell
* E: -5.348 eV per atom
* ΔH_f (0 K): 560 meV per atom
* SG: Pm, No. 6
* E above lowest polymorph: 75.8 meV/atom

Cell: 4.9962 4.4215 6.4170 Å, 90.00 107.31 90.00°
Sites, in units of the cell vectors:
K 0.0000 0.0000 0.0000
K 0.4785 0.5000 0.0500
Ru 0.3795 0.0000 0.5736
Ru 0.6446 0.5000 0.5818
Rh 0.1047 0.5000 0.4671
Rh 0.8272 0.0000 0.4610